# CeZn10Cd

A relaxed CeZn10Cd crystal (PBE-GGA, Alexandria via LeMat-Bulk).

Unit cell a=4.3142 b=5.2356 c=9.3109 alpha=90.00 beta=90.00 gamma=90.00
Fractional coordinates of all 12 atoms:
Ce1 0.0000 0.0000 0.0000
Zn1 0.0000 0.0000 0.3450
Zn2 0.0000 0.0000 0.6550
Zn3 0.0000 0.5000 0.1931
Zn4 0.0000 0.5000 0.8069
Zn5 0.5000 0.0000 0.5000
Zn6 0.5000 0.2384 0.2349
Zn7 0.5000 0.2384 0.7651
Zn8 0.5000 0.5000 0.0000
Zn9 0.5000 0.7616 0.2349
Zn10 0.5000 0.7616 0.7651
Cd1 0.0000 0.5000 0.5000

Summary:
Formation enthalpy at 0 K in eV/atom: -0.095